Compound: Na2Tl4Pb3
Source: Alexandria via LeMat-Bulk
Functional: GGA-PBE
Structure: relaxed

- Mass density: 9.23 g/cm3
- Crystal system: triclinic
- DOS at the Fermi energy: 3.171 states/eV/f.u.
- Formation energy from the elements: -86 meV per atom
- E_tot: -2.67 eV per atom

Cell lengths 5.022, 5.859, 10.346 Å; angles 102.65, 90.53, 115.14 degrees
Space group P-1 (No. 2)
Unique sites:
Na  0.167  0.334  0.220 [2 per cell]
Tl  0.164  0.330  0.890 [2 per cell]
Tl  0.499  0.999  0.667 [2 per cell]
Pb  0.167  0.333  0.554 [2 per cell]
Pb  0.500  0.000  0.000 [1 per cell]